! YBeTlPd, optimized geometry, DFT GGA-PBE; values from VASP
&SYSTEM
  ibrav = 0, nat = 4, ntyp = 4
/
ATOMIC_SPECIES
Y 88.91 Y.upf
Be 9.01 Be.upf
Pd 106.42 Pd.upf
Tl 204.38 Tl.upf
ATOMIC_POSITIONS crystal
Y 0.0000 0.0000 0.0000
Be 0.7500 0.7500 0.7500
Pd 0.2500 0.2500 0.2500
Tl 0.5000 0.5000 0.5000
CELL_PARAMETERS angstrom
0.0000 3.3576 3.3576
3.3576 0.0000 3.3576
3.3576 3.3576 0.0000
! **Spin magnetization**: 0.00 μB per atom
! **Calculated density**: 8.97 g cm⁻³
! **Calculated total energy**: -4.642 eV per atom

! TmBePd, optimized geometry, DFT GGA-PBE; values from VASP
&SYSTEM
  ibrav = 0, nat = 3, ntyp = 3
/
ATOMIC_SPECIES
Be 9.01 Be.upf
Tm 168.93 Tm.upf
Pd 106.42 Pd.upf
ATOMIC_POSITIONS crystal
Be 0.5000 0.5000 0.5000
Tm 0.0000 0.0000 0.0000
Pd 0.2500 0.2500 0.2500
CELL_PARAMETERS angstrom
0.0000 3.1091 3.1091
3.1091 0.0000 3.1091
3.1091 3.1091 0.0000
! **Spin magnetization**: 0.00 μB per atom
! **Calculated density**: 7.86 g cm⁻³
! **Calculated total energy**: -4.692 eV per atom

! TmBePd, optimized geometry, DFT GGA-PBE; values from VASP
&SYSTEM
  ibrav = 0, nat = 3, ntyp = 3
/
ATOMIC_SPECIES
Pd 106.42 Pd.upf
Tm 168.93 Tm.upf
Be 9.01 Be.upf
ATOMIC_POSITIONS crystal
Pd 0.2500 0.2500 0.2500
Tm 0.7500 0.7500 0.7500
Be 0.0000 0.0000 0.0000
CELL_PARAMETERS angstrom
-1.8589 -2.6936 -2.7266
-4.1656 -0.8273 0.3298
-2.7040 1.4759 -2.9420
! **Spin magnetization**: 0.00 μB per atom
! **Calculated density**: 8.64 g cm⁻³
! **Calculated total energy**: -4.665 eV per atom

! Be2Pd2W3, optimized geometry, DFT GGA-PBE; values from VASP
&SYSTEM
  ibrav = 0, nat = 7, ntyp = 3
/
ATOMIC_SPECIES
W 183.84 W.upf
Be 9.01 Be.upf
Pd 106.42 Pd.upf
ATOMIC_POSITIONS crystal
W 0.6243 0.6243 0.6243
W 0.3368 0.3368 0.3368
W 0.9075 0.9075 0.9075
Be 0.7629 0.7629 0.7629
Be 0.1967 0.1967 0.1967
Pd 0.0657 0.0657 0.0657
Pd 0.4811 0.4811 0.4811
CELL_PARAMETERS angstrom
0.6528 -2.9496 5.9340
-2.2562 0.1577 6.2628
-3.3234 -3.5894 4.5177
! **Spin magnetization**: 0.02 μB per atom
! **Calculated density**: 13.31 g cm⁻³
! **Calculated total energy**: -8.024 eV per atom

! YBePd2, optimized geometry, DFT GGA-PBE; values from VASP
&SYSTEM
  ibrav = 0, nat = 4, ntyp = 3
/
ATOMIC_SPECIES
Pd 106.42 Pd.upf
Y 88.91 Y.upf
Be 9.01 Be.upf
ATOMIC_POSITIONS crystal
Pd 0.7500 0.7500 0.7500
Pd 0.0000 0.0000 0.0000
Y 0.2500 0.2500 0.2500
Be 0.5000 0.5000 0.5000
CELL_PARAMETERS angstrom
0.0000 3.2388 3.2388
3.2388 0.0000 3.2388
3.2388 3.2388 0.0000
! **Spin magnetization**: 0.00 μB per atom
! **Calculated density**: 7.59 g cm⁻³
! **Calculated total energy**: -5.460 eV per atom

! YBe2Pd2, optimized geometry, DFT GGA-PBE; values from VASP
&SYSTEM
  ibrav = 0, nat = 5, ntyp = 3
/
ATOMIC_SPECIES
Y 88.91 Y.upf
Pd 106.42 Pd.upf
Be 9.01 Be.upf
ATOMIC_POSITIONS crystal
Y 0.0000 0.0000 0.0000
Pd 0.3644 0.3644 0.0000
Pd 0.6356 0.6356 0.0000
Be 0.7500 0.2500 0.5000
Be 0.2500 0.7500 0.5000
CELL_PARAMETERS angstrom
4.3126 -0.4539 3.7255
1.8293 4.4863 3.0349
-4.8829 -2.6445 -1.3592
! **Spin magnetization**: 0.00 μB per atom
! **Calculated density**: 6.85 g cm⁻³
! **Calculated total energy**: -5.427 eV per atom